Entry 1:
Compound: NiMo2Ir
Source: Alexandria
Functional: PBE
Structure: optimized geometry

```
data_NiMo2Ir
_space_group_name_H-M_alt 'P 1'
_space_group_IT_number 1
_space_group_name_Hall 'P 1'
_cell_length_a 4.751
_cell_length_b 4.751
_cell_length_c 2.721
_cell_angle_alpha 90.00
_cell_angle_beta 90.00
_cell_angle_gamma 111.29
loop_
_atom_site_label
_atom_site_fract_x
_atom_site_fract_y
_atom_site_fract_z
Ni1 0.000 0.000 0.000
Mo1 0.000 0.500 0.500
Mo2 0.500 0.000 0.500
Ir1 0.500 0.500 0.000
```

The total energy comes out at -9.20 eV/atom. As for the space group: Cmmm (65). The calculation puts the energy of formation at -128 meV per atom.

---

Entry 2:
Compound: NiMo3Ir
Source: Alexandria
Functional: PBE
Structure: optimized geometry

```
data_NiMo3Ir
_space_group_name_H-M_alt 'P 1'
_space_group_IT_number 1
_space_group_name_Hall 'P 1'
_cell_length_a 4.403
_cell_length_b 4.403
_cell_length_c 4.403
_cell_angle_alpha 90.00
_cell_angle_beta 90.00
_cell_angle_gamma 90.00
loop_
_atom_site_label
_atom_site_fract_x
_atom_site_fract_y
_atom_site_fract_z
Ni1 0.000 0.000 0.000
Mo1 0.000 0.000 0.500
Mo2 0.000 0.500 0.000
Mo3 0.500 0.000 0.000
Ir1 0.500 0.500 0.500
```

The total energy comes out at -8.10 eV/atom. As for the space group: Pm-3m (221). The calculation puts the energy of formation at 1323 meV per atom.

---

Entry 3:
Compound: NiMo2Ir
Source: Alexandria
Functional: PBE
Structure: optimized geometry

```
data_NiMo2Ir
_space_group_name_H-M_alt 'P 1'
_space_group_IT_number 1
_space_group_name_Hall 'P 1'
_cell_length_a 9.015
_cell_length_b 9.015
_cell_length_c 9.015
_cell_angle_alpha 17.52
_cell_angle_beta 17.52
_cell_angle_gamma 17.52
loop_
_atom_site_label
_atom_site_fract_x
_atom_site_fract_y
_atom_site_fract_z
Ni1 0.000 0.000 0.000
Mo1 0.252 0.252 0.252
Mo2 0.748 0.748 0.748
Ir1 0.500 0.500 0.500
```

The total energy comes out at -9.01 eV/atom. As for the space group: R-3m (166). The calculation puts the energy of formation at 64 meV per atom.

---

Entry 4:
Compound: Ni2MoIr
Source: Alexandria
Functional: PBE
Structure: optimized geometry

```
data_Ni2MoIr
_space_group_name_H-M_alt 'P 1'
_space_group_IT_number 1
_space_group_name_Hall 'P 1'
_cell_length_a 4.599
_cell_length_b 4.599
_cell_length_c 4.599
_cell_angle_alpha 132.37
_cell_angle_beta 132.37
_cell_angle_gamma 69.65
loop_
_atom_site_label
_atom_site_fract_x
_atom_site_fract_y
_atom_site_fract_z
Ni1 0.250 0.750 0.500
Ni2 0.750 0.250 0.500
Mo1 0.000 0.000 0.000
Ir1 0.500 0.500 0.000
```

The total energy comes out at -7.92 eV/atom. As for the space group: I4/mmm (139). The calculation puts the energy of formation at -102 meV per atom.

---

Entry 5:
Compound: Ni2MoIr2
Source: Alexandria
Functional: PBE
Structure: optimized geometry

```
data_Ni2MoIr2
_space_group_name_H-M_alt 'P 1'
_space_group_IT_number 1
_space_group_name_Hall 'P 1'
_cell_length_a 6.987
_cell_length_b 6.987
_cell_length_c 2.762
_cell_angle_alpha 90.00
_cell_angle_beta 90.00
_cell_angle_gamma 90.00
loop_
_atom_site_label
_atom_site_fract_x
_atom_site_fract_y
_atom_site_fract_z
Ni1 0.124 0.376 0.000
Ni2 0.376 0.876 0.000
Ni3 0.624 0.124 0.000
Ni4 0.876 0.624 0.000
Mo1 0.000 0.000 0.000
Mo2 0.500 0.500 0.000
Ir1 0.173 0.673 0.500
Ir2 0.327 0.173 0.500
Ir3 0.673 0.827 0.500
Ir4 0.827 0.327 0.500
```

The total energy comes out at -7.95 eV/atom. As for the space group: P4/mbm (127). The calculation puts the energy of formation at 76 meV per atom.

---

Entry 6:
Compound: Ni4MoIr2
Source: Alexandria
Functional: PBE
Structure: optimized geometry

```
data_Ni4MoIr2
_space_group_name_H-M_alt 'P 1'
_space_group_IT_number 1
_space_group_name_Hall 'P 1'
_cell_length_a 4.907
_cell_length_b 4.907
_cell_length_c 8.792
_cell_angle_alpha 90.00
_cell_angle_beta 90.00
_cell_angle_gamma 58.55
loop_
_atom_site_label
_atom_site_fract_x
_atom_site_fract_y
_atom_site_fract_z
Ni1 0.008 0.492 0.750
Ni2 0.019 0.981 0.781
Ni3 0.481 0.519 0.281
Ni4 0.492 0.008 0.250
Ni5 0.508 0.992 0.750
Ni6 0.519 0.481 0.719
Ni7 0.981 0.019 0.219
Ni8 0.992 0.508 0.250
Mo1 0.000 0.000 0.500
Mo2 0.500 0.500 0.000
Ir1 0.184 0.184 0.000
Ir2 0.316 0.316 0.500
Ir3 0.684 0.684 0.500
Ir4 0.816 0.816 0.000
```

The total energy comes out at -7.26 eV/atom. As for the space group: Cmce (64). The calculation puts the energy of formation at 121 meV per atom.

---

Entry 7:
Compound: Ni6MoIr2
Source: Alexandria
Functional: PBE
Structure: optimized geometry

```
data_Ni6MoIr2
_space_group_name_H-M_alt 'P 1'
_space_group_IT_number 1
_space_group_name_Hall 'P 1'
_cell_length_a 6.177
_cell_length_b 6.189
_cell_length_c 6.678
_cell_angle_alpha 116.40
_cell_angle_beta 94.03
_cell_angle_gamma 99.64
loop_
_atom_site_label
_atom_site_fract_x
_atom_site_fract_y
_atom_site_fract_z
Ni1 0.039 0.315 0.027
Ni2 0.076 0.130 0.302
Ni3 0.262 0.208 0.699
Ni4 0.294 0.016 0.967
Ni5 0.369 0.647 0.032
Ni6 0.406 0.456 0.295
Ni7 0.594 0.544 0.705
Ni8 0.631 0.353 0.968
Ni9 0.706 0.984 0.033
Ni10 0.738 0.792 0.301
Ni11 0.924 0.870 0.698
Ni12 0.961 0.685 0.973
Mo1 0.147 0.760 0.361
Mo2 0.853 0.240 0.639
Ir1 0.187 0.574 0.647
Ir2 0.476 0.090 0.354
Ir3 0.524 0.910 0.646
Ir4 0.813 0.426 0.353
```

The total energy comes out at -7.05 eV/atom. As for the space group: P-1 (2). The calculation puts the energy of formation at -21 meV per atom.

---

Entry 8:
Compound: NiMo2Ir
Source: Alexandria
Functional: PBE
Structure: optimized geometry

```
data_NiMo2Ir
_space_group_name_H-M_alt 'P 1'
_space_group_IT_number 1
_space_group_name_Hall 'P 1'
_cell_length_a 2.718
_cell_length_b 2.718
_cell_length_c 7.716
_cell_angle_alpha 90.00
_cell_angle_beta 90.00
_cell_angle_gamma 90.00
loop_
_atom_site_label
_atom_site_fract_x
_atom_site_fract_y
_atom_site_fract_z
Ni1 0.000 0.000 0.000
Mo1 0.500 0.500 0.241
Mo2 0.500 0.500 0.759
Ir1 0.000 0.000 0.500
```

The total energy comes out at -9.18 eV/atom. As for the space group: P4/mmm (123). The calculation puts the energy of formation at -107 meV per atom.

---

Entry 9:
Compound: NiMo2Ir
Source: Alexandria
Functional: PBE
Structure: optimized geometry

```
data_NiMo2Ir
_space_group_name_H-M_alt 'P 1'
_space_group_IT_number 1
_space_group_name_Hall 'P 1'
_cell_length_a 4.644
_cell_length_b 4.644
_cell_length_c 4.817
_cell_angle_alpha 98.63
_cell_angle_beta 98.63
_cell_angle_gamma 34.23
loop_
_atom_site_label
_atom_site_fract_x
_atom_site_fract_y
_atom_site_fract_z
Ni1 0.000 0.000 0.000
Mo1 0.504 0.504 0.504
Mo2 0.744 0.744 0.203
Ir1 0.252 0.252 0.730
```

The total energy comes out at -9.14 eV/atom. As for the space group: Cm (8). The calculation puts the energy of formation at -63 meV per atom.

---

Entry 10:
Compound: NiMo2Ir
Source: Alexandria
Functional: PBE
Structure: optimized geometry

```
data_NiMo2Ir
_space_group_name_H-M_alt 'P 1'
_space_group_IT_number 1
_space_group_name_Hall 'P 1'
_cell_length_a 4.340
_cell_length_b 4.340
_cell_length_c 4.340
_cell_angle_alpha 60.00
_cell_angle_beta 60.00
_cell_angle_gamma 60.00
loop_
_atom_site_label
_atom_site_fract_x
_atom_site_fract_y
_atom_site_fract_z
Ni1 0.000 0.000 0.000
Mo1 0.500 0.500 0.500
Mo2 0.750 0.750 0.750
Ir1 0.250 0.250 0.250
```

The total energy comes out at -9.01 eV/atom. As for the space group: F-43m (216). The calculation puts the energy of formation at 64 meV per atom.

---

Entry 11:
Compound: Ni2MoIr
Source: Alexandria
Functional: PBE
Structure: optimized geometry

```
data_Ni2MoIr
_space_group_name_H-M_alt 'P 1'
_space_group_IT_number 1
_space_group_name_Hall 'P 1'
_cell_length_a 2.706
_cell_length_b 3.698
_cell_length_c 5.240
_cell_angle_alpha 90.00
_cell_angle_beta 90.00
_cell_angle_gamma 90.00
loop_
_atom_site_label
_atom_site_fract_x
_atom_site_fract_y
_atom_site_fract_z
Ni1 0.000 0.000 0.000
Ni2 0.500 0.500 0.219
Mo1 0.500 0.500 0.745
Ir1 0.000 0.000 0.483
```

The total energy comes out at -7.93 eV/atom. As for the space group: Pmm2 (25). The calculation puts the energy of formation at -116 meV per atom.

---

Entry 12:
Compound: NiMo2Ir
Source: Alexandria
Functional: PBE
Structure: optimized geometry

```
data_NiMo2Ir
_space_group_name_H-M_alt 'P 1'
_space_group_IT_number 1
_space_group_name_Hall 'P 1'
_cell_length_a 4.786
_cell_length_b 4.786
_cell_length_c 4.786
_cell_angle_alpha 133.34
_cell_angle_beta 133.34
_cell_angle_gamma 68.13
loop_
_atom_site_label
_atom_site_fract_x
_atom_site_fract_y
_atom_site_fract_z
Ni1 0.000 0.000 0.000
Mo1 0.250 0.750 0.500
Mo2 0.750 0.250 0.500
Ir1 0.500 0.500 0.000
```

The total energy comes out at -9.20 eV/atom. As for the space group: I4/mmm (139). The calculation puts the energy of formation at -120 meV per atom.